VASP calculation (PBE) on crystalline NbVTcB2 at its relaxed geometry.

Computed properties:
Total moment   0.96 Bohr magnetons per cell
Calculated formation energy   1.83 eV/atom

a = 4.1508 Å, b = 4.1508 Å, c = 4.7632 Å
α = 90.00°, β = 90.00°, γ = 90.00°
Last column: nearest neighbours and their distance in Å.
Atoms (fractional coordinates):
Nb: 0.0000 0.0000 0.0000  4 B 2.08
V: 0.5000 0.5000 0.5000  4 Tc 2.94, 8 B 3.16
Tc: 0.0000 0.0000 0.5000  2 Nb 2.38
B: 0.0000 0.5000 0.0000  2 Nb 2.08
B: 0.5000 0.0000 0.0000  2 Nb 2.08